## a
Density functional theory data (PBE-GGA) for crystalline Ti4Al2Tc at its relaxed geometry.

Results
**Magnetic moment**: 0.000 μB per formula unit
**Theoretical density**: 3.96 Mg/m³

a b c (Å): 7.608 7.608 7.608
angles (deg): 145.03 145.03 50.30
Element x y z (fractional)
Ti (0.000, 0.500, 0.500)
Ti (0.179, 0.179, 0.000)
Ti (0.500, 0.000, 0.500)
Ti (0.821, 0.821, 0.000)
Al (0.373, 0.373, 0.000)
Al (0.627, 0.627, 0.000)
Tc (0.000, 0.000, 0.000)

## b
Density functional theory data (PBE-GGA) for crystalline Ti4Al2Tc at its relaxed geometry.

Results
**Magnetic moment**: 0.002 μB per formula unit
**Theoretical density**: 4.67 Mg/m³

a b c (Å): 5.720 5.720 4.779
angles (deg): 90.00 90.00 128.69
Element x y z (fractional)
Ti (0.141, 0.859, 0.000)
Ti (0.309, 0.691, 0.500)
Ti (0.691, 0.309, 0.500)
Ti (0.859, 0.141, 0.000)
Al (0.387, 0.613, 0.000)
Al (0.613, 0.387, 0.000)
Tc (0.000, 0.000, 0.500)

Of them, a has the lowest stability.

## a
Density functional theory data (PBE-GGA) for crystalline TiAlZnTc at its relaxed geometry.

Results
**Magnetic moment**: 0.000 μB per formula unit
**Theoretical density**: 6.72 Mg/m³

a b c (Å): 4.367 4.367 4.367
angles (deg): 60.00 60.00 60.00
Element x y z (fractional)
Ti (0.000, 0.000, 0.000)
Al (0.500, 0.500, 0.500)
Zn (0.750, 0.750, 0.750)
Tc (0.250, 0.250, 0.250)

## b
Density functional theory data (PBE-GGA) for crystalline TiAlZnTc at its relaxed geometry.

Results
**Magnetic moment**: 0.000 μB per formula unit
**Theoretical density**: 6.54 Mg/m³

a b c (Å): 3.212 3.212 5.868
angles (deg): 90.00 90.00 90.00
Element x y z (fractional)
Ti (0.000, 0.000, 0.000)
Al (0.000, 0.000, 0.531)
Zn (0.500, 0.500, 0.282)
Tc (0.500, 0.500, 0.784)

Of them, a has the lowest stability.

## a
Density functional theory data (PBE-GGA) for crystalline Al2TlTc2 at its relaxed geometry.

Results
**Magnetic moment**: 0.478 μB per formula unit
**Theoretical density**: 8.60 Mg/m³

a b c (Å): 6.795 6.795 6.795
angles (deg): 148.01 148.01 45.88
Element x y z (fractional)
Al (0.250, 0.750, 0.500)
Al (0.750, 0.250, 0.500)
Tl (0.000, 0.000, 0.000)
Tc (0.396, 0.396, 0.000)
Tc (0.604, 0.604, 0.000)

## b
Density functional theory data (PBE-GGA) for crystalline Al2TlTc2 at its relaxed geometry.

Results
**Magnetic moment**: 0.000 μB per formula unit
**Theoretical density**: 9.41 Mg/m³

a b c (Å): 7.045 7.045 3.231
angles (deg): 90.00 90.00 90.00
Element x y z (fractional)
Al (0.128, 0.372, 0.000)
Al (0.372, 0.872, 0.000)
Al (0.628, 0.128, 0.000)
Al (0.872, 0.628, 0.000)
Tl (0.000, 0.000, 0.000)
Tl (0.500, 0.500, 0.000)
Tc (0.164, 0.664, 0.500)
Tc (0.336, 0.164, 0.500)
Tc (0.664, 0.836, 0.500)
Tc (0.836, 0.336, 0.500)

Of them, a has the lowest stability.

## a
Density functional theory data (PBE-GGA) for crystalline Al2V4Tc at its relaxed geometry.

Results
**Magnetic moment**: 0.000 μB per formula unit
**Theoretical density**: 5.99 Mg/m³

a b c (Å): 6.554 6.554 6.554
angles (deg): 38.62 38.62 38.62
Element x y z (fractional)
Al (0.216, 0.216, 0.216)
Al (0.784, 0.784, 0.784)
V (0.065, 0.065, 0.065)
V (0.364, 0.364, 0.364)
V (0.636, 0.636, 0.636)
V (0.935, 0.935, 0.935)
Tc (0.500, 0.500, 0.500)

## b
Density functional theory data (PBE-GGA) for crystalline Al2V4Tc at its relaxed geometry.

Results
**Magnetic moment**: 3.258 μB per formula unit
**Theoretical density**: 4.42 Mg/m³

a b c (Å): 7.427 7.427 7.427
angles (deg): 145.06 145.06 50.25
Element x y z (fractional)
Al (0.125, 0.125, 0.000)
Al (0.875, 0.875, 0.000)
V (0.000, 0.500, 0.500)
V (0.322, 0.322, 0.000)
V (0.500, 0.000, 0.500)
V (0.678, 0.678, 0.000)
Tc (0.500, 0.500, 0.000)

Of them, b has the lowest stability.

## a
Density functional theory data (PBE-GGA) for crystalline Al2VTc at its relaxed geometry.

Results
**Magnetic moment**: 0.000 μB per formula unit
**Theoretical density**: 5.87 Mg/m³

a b c (Å): 3.794 3.794 3.990
angles (deg): 90.00 90.00 90.00
Element x y z (fractional)
Al (0.000, 0.500, 0.000)
Al (0.500, 0.000, 0.000)
V (0.000, 0.000, 0.500)
Tc (0.500, 0.500, 0.500)

## b
Density functional theory data (PBE-GGA) for crystalline Al2VTc at its relaxed geometry.

Results
**Magnetic moment**: 0.006 μB per formula unit
**Theoretical density**: 5.84 Mg/m³

a b c (Å): 2.964 2.964 6.566
angles (deg): 90.00 90.00 90.00
Element x y z (fractional)
Al (0.000, 0.000, 0.236)
Al (0.000, 0.000, 0.764)
V (0.500, 0.500, 0.500)
Tc (0.500, 0.500, 0.000)

Of them, b has the lowest stability.

## a
Density functional theory data (PBE-GGA) for crystalline Al2VTc at its relaxed geometry.

Results
**Magnetic moment**: 0.007 μB per formula unit
**Theoretical density**: 5.45 Mg/m³

a b c (Å): 5.510 5.510 5.510
angles (deg): 103.38 103.38 122.50
Element x y z (fractional)
Al (0.122, 0.625, 0.997)
Al (0.375, 0.372, 0.497)
Al (0.628, 0.125, 0.003)
Al (0.875, 0.878, 0.503)
V (0.250, 0.750, 0.500)
V (0.500, 0.500, 0.000)
Tc (0.000, 0.000, 0.000)
Tc (0.750, 0.250, 0.500)

## b
Density functional theory data (PBE-GGA) for crystalline Al2VTc at its relaxed geometry.

Results
**Magnetic moment**: 1.724 μB per formula unit
**Theoretical density**: 5.84 Mg/m³

a b c (Å): 4.338 4.338 4.338
angles (deg): 60.00 60.00 60.00
Element x y z (fractional)
Al (0.250, 0.250, 0.250)
Al (0.750, 0.750, 0.750)
V (0.000, 0.000, 0.000)
Tc (0.500, 0.500, 0.500)

Of them, a has the lowest stability.

## a
Density functional theory data (PBE-GGA) for crystalline AlV4Tc at its relaxed geometry.

Results
**Magnetic moment**: 0.000 μB per formula unit
**Theoretical density**: 6.58 Mg/m³

a b c (Å): 4.998 4.998 5.231
angles (deg): 121.25 121.25 50.89
Element x y z (fractional)
Al (0.000, 0.000, 0.000)
V (0.319, 0.319, 0.987)
V (0.343, 0.343, 0.518)
V (0.657, 0.657, 0.482)
V (0.681, 0.681, 0.013)
Tc (0.000, 0.000, 0.500)

## b
Density functional theory data (PBE-GGA) for crystalline AlV4Tc at its relaxed geometry.

Results
**Magnetic moment**: 0.000 μB per formula unit
**Theoretical density**: 6.56 Mg/m³

a b c (Å): 4.901 4.901 4.901
angles (deg): 60.00 60.00 60.00
Element x y z (fractional)
Al (0.000, 0.000, 0.000)
V (0.125, 0.625, 0.625)
V (0.625, 0.125, 0.625)
V (0.625, 0.625, 0.125)
V (0.625, 0.625, 0.625)
Tc (0.250, 0.250, 0.250)

Of them, b has the lowest stability.

## a
Density functional theory data (PBE-GGA) for crystalline AlTcW3 at its relaxed geometry.

Results
**Magnetic moment**: 0.000 μB per formula unit
**Theoretical density**: 10.83 Mg/m³

a b c (Å): 4.699 4.699 4.699
angles (deg): 90.00 90.00 90.00
Element x y z (fractional)
Al (0.000, 0.000, 0.000)
Tc (0.500, 0.500, 0.500)
W (0.000, 0.500, 0.500)
W (0.500, 0.000, 0.500)
W (0.500, 0.500, 0.000)

## b
Density functional theory data (PBE-GGA) for crystalline AlTcW3 at its relaxed geometry.

Results
**Magnetic moment**: 0.000 μB per formula unit
**Theoretical density**: 12.58 Mg/m³

a b c (Å): 4.470 4.470 4.470
angles (deg): 90.00 90.00 90.00
Element x y z (fractional)
Al (0.000, 0.000, 0.000)
Tc (0.500, 0.500, 0.500)
W (0.000, 0.000, 0.500)
W (0.000, 0.500, 0.000)
W (0.500, 0.000, 0.000)

Of them, b has the lowest stability.

## a
Density functional theory data (PBE-GGA) for crystalline YAl2Tc2 at its relaxed geometry.

Results
**Magnetic moment**: 0.000 μB per formula unit
**Theoretical density**: 6.61 Mg/m³

a b c (Å): 7.581 7.581 2.965
angles (deg): 90.00 90.00 90.00
Element x y z (fractional)
Y (0.000, 0.000, 0.000)
Y (0.500, 0.500, 0.000)
Al (0.142, 0.358, 0.500)
Al (0.358, 0.858, 0.500)
Al (0.642, 0.142, 0.500)
Al (0.858, 0.642, 0.500)
Tc (0.147, 0.647, 0.000)
Tc (0.353, 0.147, 0.000)
Tc (0.647, 0.853, 0.000)
Tc (0.853, 0.353, 0.000)

## b
Density functional theory data (PBE-GGA) for crystalline YAl2Tc2 at its relaxed geometry.

Results
**Magnetic moment**: 0.002 μB per formula unit
**Theoretical density**: 5.93 Mg/m³

a b c (Å): 5.841 5.841 5.841
angles (deg): 135.99 135.99 64.00
Element x y z (fractional)
Y (0.000, 0.000, 0.000)
Al (0.250, 0.750, 0.500)
Al (0.750, 0.250, 0.500)
Tc (0.384, 0.384, 0.000)
Tc (0.616, 0.616, 0.000)

Of them, a has the lowest stability.

## a
Density functional theory data (PBE-GGA) for crystalline YAlTc3 at its relaxed geometry.

Results
**Magnetic moment**: 1.983 μB per formula unit
**Theoretical density**: 7.08 Mg/m³

a b c (Å): 4.581 4.581 4.581
angles (deg): 90.00 90.00 90.00
Element x y z (fractional)
Y (0.000, 0.000, 0.000)
Al (0.500, 0.500, 0.500)
Tc (0.000, 0.500, 0.500)
Tc (0.500, 0.000, 0.500)
Tc (0.500, 0.500, 0.000)

## b
Density functional theory data (PBE-GGA) for crystalline YAlTc3 at its relaxed geometry.

Results
**Magnetic moment**: 3.251 μB per formula unit
**Theoretical density**: 6.10 Mg/m³

a b c (Å): 4.813 4.813 4.813
angles (deg): 90.00 90.00 90.00
Element x y z (fractional)
Y (0.000, 0.000, 0.000)
Al (0.500, 0.500, 0.500)
Tc (0.000, 0.000, 0.500)
Tc (0.000, 0.500, 0.000)
Tc (0.500, 0.000, 0.000)

Of them, b has the lowest stability.

## a
Density functional theory data (PBE-GGA) for crystalline YAlTc at its relaxed geometry.

Results
**Magnetic moment**: 0.000 μB per formula unit
**Theoretical density**: 6.23 Mg/m³

a b c (Å): 5.427 5.427 5.427
angles (deg): 120.61 118.03 91.19
Element x y z (fractional)
Y (0.367, 0.117, 0.250)
Y (0.633, 0.883, 0.750)
Al (0.000, 0.500, 0.500)
Al (0.500, 0.500, 0.000)
Tc (0.000, 0.000, 0.500)
Tc (0.000, 0.500, 0.000)

## b
Density functional theory data (PBE-GGA) for crystalline YAlTc at its relaxed geometry.

Results
**Magnetic moment**: 0.000 μB per formula unit
**Theoretical density**: 5.51 Mg/m³

a b c (Å): 3.372 3.850 4.967
angles (deg): 90.00 90.00 90.00
Element x y z (fractional)
Y (0.000, 0.000, 0.000)
Al (0.000, 0.500, 0.500)
Tc (0.500, 0.000, 0.500)

Of them, b has the lowest stability.

## a
Density functional theory data (PBE-GGA) for crystalline YAlTc at its relaxed geometry.

Results
**Magnetic moment**: 0.000 μB per formula unit
**Theoretical density**: 6.10 Mg/m³

a b c (Å): 5.507 5.507 5.507
angles (deg): 143.67 143.67 52.32
Element x y z (fractional)
Y (0.000, 0.000, 0.000)
Al (0.291, 0.291, 0.000)
Tc (0.691, 0.691, 0.000)

## b
Density functional theory data (PBE-GGA) for crystalline YAlTc at its relaxed geometry.

Results
**Magnetic moment**: 0.000 μB per formula unit
**Theoretical density**: 5.74 Mg/m³

a b c (Å): 3.409 3.409 6.145
angles (deg): 90.00 90.00 120.00
Element x y z (fractional)
Y (0.000, 0.000, 0.000)
Al (0.333, 0.667, 0.405)
Tc (0.667, 0.333, 0.663)

Of them, b has the lowest stability.